Material: La2P2Se
Method: DFT, PBE
State: relaxed

Results
E_tot = -30.39 eV per cell
Energy relative to the elements, uncorrected = -1.247 eV/atom
Symmetry = I4/mmm

Lattice parameters (Å, degrees): 3.8991 3.8991 8.4500 76.66 76.66 90.00
Fractional positions:
P (0.7500, 0.2500, 0.5000)
P (0.2500, 0.7500, 0.5000)
Se (0.0000, 0.0000, 0.0000)
La (0.3865, 0.3865, 0.2270)
La (0.6135, 0.6135, 0.7730)